# 1
A plane-wave DFT calculation with PBE was carried out for an optimized crystal structure of KTeRh2.

- Uncorrected energy: -4.44 eV/atom
- DOS at the Fermi energy: 10.2 states/eV/cell
- Total magnetic moment: 0.0 μB/cell

Cell lengths 7.8464, 7.8464, 6.7215 Å; angles 90.00, 90.00, 90.00 degrees
Last column: nearest neighbours and their distance in Å.
Space group I-42d (No. 122)
Symmetry-distinct sites (fractional):
K 0.0000 0.0000 0.0000 x4  2 Te 3.36, 8 Rh 3.40-3.44
Te 0.0000 0.0000 0.5000 x4  4 Rh 2.49
Rh 0.1630 0.2500 0.6250 x8  2 Te 2.49


# 2
A plane-wave DFT calculation with PBE was carried out for an optimized crystal structure of CrCoCu2.

- Uncorrected energy: -5.95 eV/atom
- Energy relative to the elements: 0.2766 eV per atom
- DOS at the Fermi energy: 6.1 states/eV/cell
- Total magnetic moment: 6.6 μB/cell

Cell lengths 5.0418, 7.7110, 2.4288 Å; angles 90.00, 90.00, 90.00 degrees
Last column: nearest neighbours and their distance in Å.
Space group Cmmm (No. 65)
Symmetry-distinct sites (fractional):
Cr 0.0000 0.0000 0.0000 x2  2 Cr 2.43, 2 Co 2.52, 8 Cu 2.60
Co 0.0000 0.5000 0.0000 x2  2 Co 2.43, 2 Cr 2.52, 8 Cu 2.60
Cu 0.2500 0.2500 0.5000 x4  4 Cu 2.43-2.52, 4 Cr 2.60, 4 Co 2.60


# 3
A plane-wave DFT calculation with PBE was carried out for an optimized crystal structure of BaTeO2F.

- Uncorrected energy: -3.94 eV/atom
- DOS at the Fermi energy: 7.0 states/eV/cell
- Total magnetic moment: 0.0 μB/cell

Cell lengths 4.9203, 4.9203, 4.8041 Å; angles 90.00, 90.00, 90.00 degrees
Last column: nearest neighbours and their distance in Å.
Space group P4/mmm (No. 123)
Symmetry-distinct sites (fractional):
Ba 0.0000 0.0000 0.0000 x1  2 F 2.40, 4 O 2.46
Te 0.5000 0.5000 0.5000 x1  8 O 3.44, 4 F 3.48
O 0.0000 0.5000 0.0000 x2  2 Ba 2.46
F 0.0000 0.0000 0.5000 x1  2 Ba 2.40


# 4
A plane-wave DFT calculation with PBE was carried out for an optimized crystal structure of Cs5Rb4Hg.

- Uncorrected energy: -0.89 eV/atom
- Energy relative to the elements: -0.0431 eV per atom
- DOS at the Fermi energy: 18.7 states/eV/cell
- Total magnetic moment: 0.0 μB/cell

Cell lengths 15.6670, 15.6670, 7.5743 Å; angles 90.00, 90.00, 90.00 degrees
Last column: nearest neighbours and their distance in Å.
Space group I4mm (No. 107)
Symmetry-distinct sites (fractional):
Cs 0.0000 0.0000 0.0000 x2  2 Hg 3.78-3.79
Cs 0.1713 0.1713 0.5016 x8  1 Hg 3.79
Rb 0.0000 0.3408 0.0021 x8  5 Rb 4.99-5.18, 7 Cs 5.15-5.35
Hg 0.0000 0.0000 0.4995 x2  6 Cs 3.78-3.79


# 5
A plane-wave DFT calculation with PBE was carried out for an optimized crystal structure of PmGe3Os2.

- Uncorrected energy: -7.01 eV/atom
- Energy relative to the elements: -0.1642 eV per atom
- DOS at the Fermi energy: 9.0 states/eV/cell
- Total magnetic moment: 0.0 μB/cell

Cell lengths 9.5177, 7.8689, 5.8014 Å; angles 90.00, 90.00, 90.00 degrees
Last column: nearest neighbours and their distance in Å.
Space group Cmcm (No. 63)
Symmetry-distinct sites (fractional):
Pm 0.0000 0.1437 0.2500 x4  3 Ge 2.90-3.23
Ge 0.0000 0.4872 0.7500 x4  4 Os 2.49, 2 Ge 2.65
Ge 0.1644 0.2154 0.7500 x8  4 Os 2.52-2.71, 1 Ge 2.65
Os 0.2127 0.5000 0.0000 x8  6 Ge 2.49-2.71


# 6
A plane-wave DFT calculation with PBE was carried out for an optimized crystal structure of SiNiSe3.

- Uncorrected energy: -3.86 eV/atom
- DOS at the Fermi energy: 3.4 states/eV/cell
- Total magnetic moment: 0.0 μB/cell
- Offset from the most stable computed form: 816 meV/atom

Cell lengths 4.6937, 4.6937, 4.6937 Å; angles 90.00, 90.00, 90.00 degrees
Last column: nearest neighbours and their distance in Å.
Space group Pm-3m (No. 221)
Symmetry-distinct sites (fractional):
Si 0.0000 0.0000 0.0000 x1  12 Se 3.32
Ni 0.5000 0.5000 0.5000 x1  6 Se 2.35
Se 0.0000 0.5000 0.5000 x3  2 Ni 2.35


# 7
A plane-wave DFT calculation with PBE was carried out for an optimized crystal structure of Cd2AgMo.

- Uncorrected energy: -3.38 eV/atom
- Energy relative to the elements: 0.5026 eV per atom
- DOS at the Fermi energy: 6.7 states/eV/cell
- Total magnetic moment: 9.3 μB/cell
- Offset from the most stable computed form: 273 meV/atom

Cell lengths 6.7274, 6.7274, 6.7274 Å; angles 90.00, 90.00, 90.00 degrees
Last column: nearest neighbours and their distance in Å.
Space group Fm-3m (No. 225)
Symmetry-distinct sites (fractional):
Cd 0.2500 0.2500 0.2500 x8  4 Mo 2.91, 4 Ag 2.91
Ag 0.0000 0.0000 0.0000 x4  8 Cd 2.91
Mo 0.0000 0.0000 0.5000 x4  8 Cd 2.91


# 8
A plane-wave DFT calculation with PBE was carried out for an optimized crystal structure of Cs3Sm3AlS8.

- Uncorrected energy: -5.08 eV/atom
- DOS at the Fermi energy: 43.7 states/eV/cell
- Total magnetic moment: 0.0 μB/cell

Cell lengths 8.0928, 8.0928, 24.6840 Å; angles 90.00, 90.00, 120.00 degrees
Last column: nearest neighbours and their distance in Å.
Space group R-3m (No. 166, hexagonal axes)
Symmetry-distinct sites (fractional):
Cs 0.0000 0.5000 0.0000 x9  6 S 3.48-3.52
Sm 0.0000 0.5000 0.5000 x9  6 S 2.79-2.83
Al 0.0000 0.0000 0.5000 x3  6 S 2.52
S 0.0000 0.0000 0.2286 x6  3 Sm 2.79
S 0.0329 0.5165 0.2231 x18  1 Al 2.52, 2 Sm 2.83